## ThSnOs (PBE-GGA)

Data for crystalline ThSnOs at its relaxed geometry.

Lattice parameters (Å, degrees): 13.1996 4.1203 7.6711 90.00 90.00 90.00
With the nearest neighbours (Å) after each atom.
Space group Pmma (No. 51)
Asymmetric unit:
Th1 0.0460 0.0000 0.2239  5 Os 3.09-3.17, 4 Sn 3.40-3.44
Th2 0.2500 0.0000 0.8532  5 Os 2.91-3.15
Sn1 0.1238 0.5000 0.5675  3 Os 2.82-2.83
Sn2 0.2500 0.5000 0.2003  4 Os 2.77-2.82
Os1 0.1020 0.5000 0.9345  2 Sn 2.82-2.83, 1 Os 2.87, 6 Th 2.91-3.12
Os2 0.2500 0.0000 0.4421  6 Sn 2.77-2.82

Calculated values
* energy of formation from the pure elements: -0.409 eV per atom
* total DFT energy (no corrections): -7.960 eV/atom
* V: 417.2 Å³ per cell